# CrInNi2N (GGA-PBE, optimized geometry)
# - calculated total energy (eV/atom) = -6.56
# - DOS at the Fermi energy (states/eV/cell) = 2.76
# - calculated density (g/cm³) = 8.35
data_CrInNi2N
_chemical_formula_sum 'Cr1 In1 Ni2 N1'
_symmetry_space_group_name_H-M 'P 1'
_symmetry_Int_Tables_number 1
_symmetry_space_group_name_Hall 'P 1'
_cell_length_a 3.9429
_cell_length_b 3.9429
_cell_length_c 3.8128
_cell_angle_alpha 90.00
_cell_angle_beta 90.00
_cell_angle_gamma 90.00
loop_
_atom_site_label
_atom_site_type_symbol
_atom_site_fract_x
_atom_site_fract_y
_atom_site_fract_z
Ni1 Ni 0.0000 0.5000 0.0000
Ni2 Ni 0.5000 0.0000 0.0000
N1 N 0.0000 0.0000 0.0000
Cr1 Cr 0.0000 0.0000 0.5000
In1 In 0.5000 0.5000 0.5000